# ZnCrOsF2 PBE with a Hubbard U optimized geometry
data_ZnCrOsF2
_chemical_formula_sum 'Zn1 Cr1 Os1 F2'
_symmetry_space_group_name_H-M 'P 4/m m m'
_symmetry_Int_Tables_number 123
_symmetry_space_group_name_Hall '-P 4 2'
_cell_length_a 3.847
_cell_length_b 3.847
_cell_length_c 5.647
_cell_angle_alpha 90.00
_cell_angle_beta 90.00
_cell_angle_gamma 90.00
loop_
_atom_site_label
_atom_site_fract_x
_atom_site_fract_y
_atom_site_fract_z
_atom_site_occupancy
Zn1 0.000 0.000 0.000 1
Cr1 0.500 0.500 0.500 1
Os1 0.000 0.000 0.500 1
F1 0.000 0.500 0.000 1
# Total DFT energy (no corrections) ... -4.927 eV per atom
# Magnetization ... 1.97 Bohr magnetons per cell